[1]
An optimized crystal structure of Nd2HoTe4. Source: Alexandria, functional PBE.

The structure belongs to space group Cmcm (No. 63); the cell edges are 4.282, 14.772 and 15.270 Å and the angles 90.00°, 90.00° and 90.00°. The inequivalent atoms are Nd at (0.000, 0.132, 0.071), Ho at (0.000, 0.371, 0.250), Te at (0.000, 0.023, 0.250), Te at (0.000, 0.217, 0.626) and Te at (0.000, 0.500, 0.000).

The total magnetization is 0.0 μB per formula unit. The value obtained for the uncorrected energy is -0.380 Ry per atom.

[2]
An optimized crystal structure of K2SiAu. Source: Alexandria, functional PBE.

The structure belongs to space group Pmm2 (No. 25); the cell edges are 3.588, 3.646 and 9.979 Å and the angles 90.00°, 90.00° and 90.00°. The inequivalent atoms are K at (0.000, 0.000, 0.000), K at (0.500, 0.500, 0.410), Si at (0.000, 0.000, 0.668) and Au at (0.500, 0.500, 0.738).

The total magnetization is 0.0 μB per formula unit. The value obtained for the uncorrected energy is -0.197 Ry per atom.

[3]
An optimized crystal structure of Pm4Tm5Mg2. Source: Alexandria, functional PBE.

The structure belongs to space group P-1 (No. 2); the cell edges are 3.499, 8.160 and 12.064 Å and the angles 89.48°, 89.98° and 77.65°. The inequivalent atoms are Pm at (0.058, 0.387, 0.298), Pm at (0.367, 0.768, 0.179), Tm at (0.000, 0.500, 0.000), Tm at (0.254, 0.990, 0.627), Tm at (0.317, 0.866, 0.903) and Mg at (0.413, 0.678, 0.457).

The calculation puts the energy relative to the elements at 12 meV/atom. The total magnetization is 0.0 μB per formula unit. The value obtained for the uncorrected energy is -0.297 Ry per atom.

[4]
An optimized crystal structure of HgAsSe2O. Source: Alexandria, functional PBE.

The structure belongs to space group P4/mmm (No. 123); the cell edges are 4.557, 4.557 and 4.635 Å and the angles 90.00°, 90.00° and 90.00°. The inequivalent atoms are Hg at (0.000, 0.000, 0.000), As at (0.500, 0.500, 0.000), Se at (0.000, 0.500, 0.500) and O at (0.500, 0.500, 0.500).

The total magnetization is 0.0 μB per formula unit. The value obtained for the uncorrected energy is -0.213 Ry per atom.

[5]
An optimized crystal structure of PaSi3Ru. Source: Alexandria, functional PBE.

The structure belongs to space group Pnma (No. 62); the cell edges are 8.118, 4.015 and 10.579 Å and the angles 90.00°, 90.00° and 90.00°. The inequivalent atoms are Pa at (0.194, 0.250, 0.028), Si at (0.053, 0.250, 0.573), Si at (0.069, 0.750, 0.199), Si at (0.131, 0.750, 0.825) and Ru at (0.077, 0.250, 0.336).

The total magnetization is 0.0 μB per formula unit. The value obtained for the uncorrected energy is -0.558 Ry per atom.

[6]
An optimized crystal structure of TiHg3Cl. Source: Alexandria, functional PBE.

The structure belongs to space group Pm-3m (No. 221); the cell edges are 5.509, 5.509 and 5.509 Å and the angles 90.00°, 90.00° and 90.00°. The inequivalent atoms are Ti at (0.000, 0.000, 0.000), Hg at (0.000, 0.000, 0.500) and Cl at (0.500, 0.500, 0.500).

The total magnetization is 2.6 μB per formula unit. The value obtained for the uncorrected energy is -0.137 Ry per atom.

[7]
An optimized crystal structure of CuHg2W. Source: Alexandria, functional PBE.

The structure belongs to space group Fm-3m (No. 225); the cell edges are 6.617, 6.617 and 6.617 Å and the angles 90.00°, 90.00° and 90.00°. The inequivalent atoms are Cu at (0.000, 0.000, 0.000), Hg at (0.250, 0.250, 0.250) and W at (0.000, 0.000, 0.500).

The calculation puts the energy relative to the elements at 922 meV/atom. The total magnetization is 1.9 μB per formula unit. The value obtained for the uncorrected energy is -0.257 Ry per atom.

[8]
An optimized crystal structure of NaGa2Cl6. Source: Alexandria, functional PBE.

The structure belongs to space group C2/c (No. 15); the cell edges are 13.365, 12.136 and 7.776 Å and the angles 90.00°, 111.40° and 90.00°. The inequivalent atoms are Na at (0.000, 0.101, 0.250), Ga at (0.206, 0.408, 0.240), Cl at (0.113, 0.081, 0.647), Cl at (0.143, 0.496, 0.454) and Cl at (0.162, 0.229, 0.198).

The total magnetization is 0.0 μB per formula unit. The value obtained for the uncorrected energy is -0.235 Ry per atom.

[9]
An optimized crystal structure of PaB2S8. Source: Alexandria, functional PBE.

The structure belongs to space group P-3m1 (No. 164); the cell edges are 6.3757, 6.3757 and 6.2926 Å and the angles 90.00°, 90.00° and 120.00°. The inequivalent atoms are Pa at (0.0000, 0.0000, 0.0000), B at (0.3333, 0.6667, 0.6059), S at (0.1756, 0.3512, 0.7251) and S at (0.3333, 0.6667, 0.3061).

The total magnetization is 0.0 μB per formula unit. The value obtained for the uncorrected energy is -0.383 Ry per atom.

[10]
An optimized crystal structure of Ac5NdS6. Source: Alexandria, functional PBE.

The structure belongs to space group C2/m (No. 12); the cell edges are 7.391, 12.820 and 7.393 Å and the angles 90.00°, 109.69° and 90.00°. The inequivalent atoms are Ac at (0.000, 0.000, 0.000), Ac at (0.000, 0.166, 0.500), Ac at (0.000, 0.332, 0.000), Nd at (0.000, 0.500, 0.500), S at (0.243, 0.500, 0.253) and S at (0.244, 0.337, 0.744).

The total magnetization is 0.0 μB per formula unit. The value obtained for the uncorrected energy is -0.454 Ry per atom.

[11]
An optimized crystal structure of Mg2Ni6BH. Source: Alexandria, functional PBE.

The structure belongs to space group Immm (No. 71); the cell edges are 5.315, 5.327 and 7.520 Å and the angles 90.00°, 90.00° and 90.00°. The inequivalent atoms are Mg at (0.000, 0.000, 0.249), Ni at (0.000, 0.500, 0.243), Ni at (0.243, 0.258, 0.000), B at (0.000, 0.500, 0.500) and H at (0.000, 0.500, 0.000).

The total magnetization is 0.0 μB per formula unit. The value obtained for the uncorrected energy is -0.373 Ry per atom.

[12]
An optimized crystal structure of Sm2PaTe2P2. Source: Alexandria, functional PBE.

The structure belongs to space group I4/mmm (No. 139); the cell edges are 5.193, 5.193 and 15.683 Å and the angles 90.00°, 90.00° and 90.00°. The inequivalent atoms are Sm at (0.000, 0.000, 0.110), Pa at (0.000, 0.000, 0.500), Te at (0.000, 0.000, 0.309) and P at (0.000, 0.500, 0.000).

The total magnetization is 0.0 μB per formula unit. The value obtained for the uncorrected energy is -0.455 Ry per atom.

[13]
An optimized crystal structure of MnGaS3. Source: Alexandria, functional PBE.

The structure belongs to space group Pm-3m (No. 221); the cell edges are 4.675, 4.675 and 4.675 Å and the angles 90.00°, 90.00° and 90.00°. The inequivalent atoms are Mn at (0.000, 0.000, 0.000), Ga at (0.500, 0.500, 0.500) and S at (0.000, 0.500, 0.500).

The total magnetization is 4.7 μB per formula unit. The value obtained for the uncorrected energy is -0.334 Ry per atom.

[14]
An optimized crystal structure of Li3Tb2NdTe6. Source: Alexandria, functional PBE.

The structure belongs to space group C2/m (No. 12); the cell edges are 7.610, 13.181 and 7.515 Å and the angles 90.00°, 109.74° and 90.00°. The inequivalent atoms are Li at (0.000, 0.000, 0.000), Li at (0.000, 0.334, 0.000), Tb at (0.000, 0.167, 0.500), Nd at (0.000, 0.500, 0.500), Te at (0.244, 0.170, 0.242) and Te at (0.246, 0.000, 0.759).

The total magnetization is 0.0 μB per formula unit. The value obtained for the uncorrected energy is -0.332 Ry per atom.

[15]
An optimized crystal structure of MnCoBiIr2. Source: Alexandria, functional PBE.

The structure belongs to space group P4/mmm (No. 123); the cell edges are 4.485, 4.485 and 4.887 Å and the angles 90.00°, 90.00° and 90.00°. The inequivalent atoms are Mn at (0.000, 0.000, 0.000), Co at (0.500, 0.500, 0.500), Bi at (0.000, 0.000, 0.500) and Ir at (0.000, 0.500, 0.000).

The calculation puts the energy relative to the elements at 1430 meV/atom. The total magnetization is 1.9 μB per formula unit. The value obtained for the uncorrected energy is -0.452 Ry per atom.

[16]
An optimized crystal structure of BaZrAgI2. Source: Alexandria, functional PBE.

The structure belongs to space group P4/mmm (No. 123); the cell edges are 5.611, 5.611 and 7.312 Å and the angles 90.00°, 90.00° and 90.00°. The inequivalent atoms are Ba at (0.000, 0.000, 0.000), Zr at (0.000, 0.000, 0.500), Ag at (0.500, 0.500, 0.000) and I at (0.000, 0.500, 0.500).

The total magnetization is 1.6 μB per formula unit. The value obtained for the uncorrected energy is -0.244 Ry per atom.

[17]
An optimized crystal structure of RbCu7I12. Source: Alexandria, functional PBE.

The structure belongs to space group Im-3 (No. 204); the cell edges are 10.602, 10.602 and 10.602 Å and the angles 90.00°, 90.00° and 90.00°. The inequivalent atoms are Rb at (0.000, 0.000, 0.000), Cu at (0.000, 0.000, 0.500), Cu at (0.250, 0.250, 0.250) and I at (0.000, 0.317, 0.178).

The total magnetization is 0.0 μB per formula unit. The value obtained for the uncorrected energy is -0.187 Ry per atom.

[18]
An optimized crystal structure of Li3GaOs. Source: Alexandria, functional PBE.

The structure belongs to space group Pm-3m (No. 221); the cell edges are 4.359, 4.359 and 4.359 Å and the angles 90.00°, 90.00° and 90.00°. The inequivalent atoms are Li at (0.000, 0.000, 0.500), Ga at (0.000, 0.000, 0.000) and Os at (0.500, 0.500, 0.500).

The calculation puts the energy relative to the elements at 1074 meV/atom. The total magnetization is 1.5 μB per formula unit. The value obtained for the uncorrected energy is -0.215 Ry per atom.

[19]
An optimized crystal structure of InAg2Os. Source: Alexandria, functional PBE.

The structure belongs to space group I-42d (No. 122); the cell edges are 3.885, 3.885 and 20.341 Å and the angles 90.00°, 90.00° and 90.00°. The inequivalent atoms are In at (0.000, 0.000, 0.000), Ag at (0.243, 0.250, 0.625) and Os at (0.000, 0.000, 0.500).

The calculation puts the energy relative to the elements at 730 meV/atom. The total magnetization is 0.8 μB per formula unit. The value obtained for the uncorrected energy is -0.308 Ry per atom.

[20]
An optimized crystal structure of PmPr2Mn. Source: Alexandria, functional PBE.

The structure belongs to space group R-3m (No. 166, hexagonal axes); the cell edges are 3.4881, 3.4881 and 35.6842 Å and the angles 90.00°, 90.00° and 120.00°. The inequivalent atoms are Pm at (0.0000, 0.0000, 0.0000), Pr at (0.0000, 0.0000, 0.4189) and Mn at (0.0000, 0.0000, 0.5000).

The calculation puts the energy relative to the elements at 550 meV/atom. The total magnetization is 3.3 μB per formula unit. The value obtained for the uncorrected energy is -0.391 Ry per atom.